Record 1
This record from Alexandria via LeMat-Bulk describes an optimized crystal structure of Al2AsPb. The functional is PBE-GGA.

VASP energy	-31.26	eV for the cell shown
energy relative to the elements	0.05	eV/atom
DOS at the Fermi energy	1.96	states/eV/f.u.
ΔE to the lowest computed polymorph	0.0551	eV/atom
volume	28.0	A^3/atom
space-group type	No. 122

Lattice parameters (Å, degrees): 6.191 6.191 7.310 64.95 64.95 90.00
Sites, in units of the cell vectors:
Al (0.586, 0.125, 0.250)
Pb (0.000, 0.000, 0.000)
Al (0.164, 0.625, 0.250)
As (0.250, 0.750, 0.500)
Pb (0.750, 0.250, 0.500)
Al (0.875, 0.836, 0.750)
Al (0.375, 0.414, 0.750)
As (0.500, 0.500, 0.000)


Record 2
This record from Alexandria via LeMat-Bulk describes an optimized crystal structure of AlAsPb2. The functional is PBE-GGA.

VASP energy	-14.67	eV for the cell shown
energy relative to the elements	0.28	eV/atom
DOS at the Fermi energy	3.27	states/eV/f.u.
ΔE to the lowest computed polymorph	0.2454	eV/atom
volume	25.6	A^3/atom
space-group type	No. 216

Lattice parameters (Å, degrees): 5.253 5.253 5.253 60.00 60.00 60.00
Sites, in units of the cell vectors:
Pb (0.000, 0.000, 0.000)
Pb (0.750, 0.750, 0.750)
Al (0.500, 0.500, 0.500)
As (0.250, 0.250, 0.250)